(1)
4
Lattice="4.501 0.000 0.000 2.250 3.898 0.000 2.250 1.299 3.675" Properties=species:S:1:pos:R:3 comment="PBE LiHfAlRe, relaxed" magmom_total_mub_per_fu=0.0 e_form_ev_per_atom=-0.12 dos_ef_per_ev_fu=4.76 spacegroup="F-43m (216)" pbc="T T T"
Al 6.751 3.898 2.756
Re 4.501 2.599 1.837
Li 0.000 0.000 0.000
Hf 2.250 1.299 0.919

---

(2)
7
Lattice="4.120 0.000 0.547 0.000 3.306 0.000 0.354 0.000 13.129" Properties=species:S:1:pos:R:3 comment="PBE Mg3Tl2Sn2, relaxed" magmom_total_mub_per_fu=0.0 e_form_ev_per_atom=-0.04 dos_ef_per_ev_fu=2.61 spacegroup="Cmmm (65)" pbc="T T T"
Sn 3.116 1.653 8.105
Sn 1.357 1.653 5.571
Tl 1.822 1.653 2.065
Tl 2.651 1.653 11.610
Mg 0.000 0.000 0.000
Mg 0.838 0.000 9.481
Mg 3.635 0.000 4.195

---

Which formula does entry 1 have?
LiHfAlRe